a:
The following is a PBE calculation of an optimized crystal structure of Sm4YSc2, from Alexandria via LeMat-Bulk.

Cell and atoms, written as extended XYZ:
```
14
Lattice="5.5297 0.0000 0.0000 0.0000 6.8480 0.0000 -2.7697 0.0000 11.4894" Properties=species:S:1:pos:R:3 pbc="T T T"
Sm -0.0186 1.7120 1.7116
Sm -0.0097 5.1360 4.9678
Sm -0.0025 3.4308 8.1535
Sm -0.0025 6.8412 8.1535
Sm 2.7626 0.0068 3.3360
Sm 2.7626 3.4172 3.3360
Sm 2.7698 1.7120 6.5216
Sm 2.7786 5.1360 9.7778
Y 0.0167 5.1360 1.6482
Y 2.7433 1.7120 9.8412
Sc 0.0046 1.7120 4.8852
Sc 2.7426 1.7120 0.0714
Sc 0.0174 5.1360 11.4180
Sc 2.7554 5.1360 6.6043
```

## Properties
- Magnetic moment: 0.00 μB/f.u.
- SG: P2_1/m
- DOS at the Fermi energy: 24.5 states/eV per cell
- Crystal system: monoclinic

***

b:
The following is a PBE calculation of an optimized crystal structure of Sm4YSc2, from Alexandria via LeMat-Bulk.

Cell and atoms, written as extended XYZ:
```
14
Lattice="9.0432 0.0000 0.0000 0.0000 9.0432 0.0000 0.0000 0.0000 5.6067" Properties=species:S:1:pos:R:3 pbc="T T T"
Sm 0.9247 3.2627 0.0000
Sm 1.2589 5.4463 2.8034
Sm 3.2627 0.9247 0.0000
Sm 3.5969 7.7843 2.8034
Sm 5.4463 1.2589 2.8034
Sm 5.7805 8.1185 0.0000
Sm 7.7843 3.5969 2.8034
Sm 8.1185 5.7805 0.0000
Y 0.0000 0.0000 0.0000
Y 4.5216 4.5216 2.8034
Sc 1.6807 1.6807 2.8034
Sc 2.8409 6.2023 0.0000
Sc 6.2023 2.8409 0.0000
Sc 7.3625 7.3625 2.8034
```

## Properties
- Magnetic moment: 0.00 μB/f.u.
- SG: P4_2/mnm
- DOS at the Fermi energy: 17.1 states/eV per cell
- Crystal system: tetragonal

***

The calculated energies rank the structures as follows, beginning with the most stable: a, b.

***

a:
The following is a PBE calculation of an optimized crystal structure of Sm5YSc2, from Alexandria via LeMat-Bulk.

Cell and atoms, written as extended XYZ:
```
16
Lattice="-4.5159 4.5159 6.1855 4.5159 -4.5159 6.1855 4.5159 4.5159 -6.1855" Properties=species:S:1:pos:R:3 pbc="T T T"
Sm 0.0000 0.0000 0.0000
Sm 3.1768 -1.3391 1.9669
Sm 5.8549 -1.3391 4.2186
Sm 5.8549 1.3391 1.9669
Sm 3.1768 1.3391 4.2186
Sm 0.0000 0.0000 6.1855
Sm 1.3391 3.1768 1.9669
Sm -1.3391 3.1768 4.2186
Sm -1.3391 5.8549 1.9669
Sm 1.3391 5.8549 4.2186
Y 0.0000 0.0000 3.0927
Y 0.0000 0.0000 9.2782
Sc 3.1701 1.3457 0.0000
Sc 3.1701 -1.3457 6.1855
Sc 1.3457 5.8616 0.0000
Sc 1.3457 3.1701 6.1855
```

## Properties
- Magnetic moment: 0.37 μB/f.u.
- SG: I4/mcm
- DOS at the Fermi energy: 18.4 states/eV per cell
- Crystal system: tetragonal

***

b:
The following is a PBE calculation of an optimized crystal structure of Sm5YSc2, from Alexandria via LeMat-Bulk.

Cell and atoms, written as extended XYZ:
```
16
Lattice="7.0474 0.0000 0.0000 0.0000 14.0942 0.0000 0.0000 0.0000 4.9919" Properties=species:S:1:pos:R:3 pbc="T T T"
Sm 0.0000 0.0000 0.0000
Sm 0.0044 3.5264 0.0000
Sm 1.7569 8.8030 2.4959
Sm 1.7668 1.7559 2.4959
Sm 3.5193 10.5735 0.0000
Sm 3.5237 7.0471 0.0000
Sm 3.5281 3.5207 0.0000
Sm 5.2807 12.3383 2.4959
Sm 5.2905 5.2912 2.4959
Sm 7.0430 10.5678 0.0000
Y 0.0000 7.0471 0.0000
Y 3.5237 0.0000 0.0000
Sc 1.7647 5.2912 2.4959
Sc 1.7590 12.3383 2.4959
Sc 5.2884 1.7559 2.4959
Sc 5.2827 8.8030 2.4959
```

## Properties
- Magnetic moment: 0.00 μB/f.u.
- SG: Pbam
- DOS at the Fermi energy: 23.7 states/eV per cell
- Crystal system: orthorhombic

***

The calculated energies rank the structures as follows, beginning with the most stable: b, a.

***

a:
The following is a PBE calculation of an optimized crystal structure of Sm2YSc2, from Alexandria via LeMat-Bulk.

Cell and atoms, written as extended XYZ:
```
10
Lattice="-2.7573 3.3947 8.0628 2.7573 -3.3947 8.0628 2.7573 3.3947 -8.0628" Properties=species:S:1:pos:R:3 pbc="T T T"
Sm 0.0000 1.6973 0.0858
Sm 2.7573 1.6973 2.0601
Sm 0.0000 1.6973 6.0027
Sm 2.7573 1.6973 7.9770
Y 2.7573 1.6973 -1.9720
Y 0.0000 1.6973 10.0349
Sc 2.7573 3.3688 -4.9506
Sc 2.7573 -0.0259 4.9506
Sc 0.0000 3.4206 3.1122
Sc 0.0000 0.0259 13.0134
```

## Properties
- Magnetic moment: 0.00 μB/f.u.
- SG: Imma
- DOS at the Fermi energy: 19.3 states/eV per cell
- Crystal system: orthorhombic

***

b:
The following is a PBE calculation of an optimized crystal structure of Sm2YSc2, from Alexandria via LeMat-Bulk.

Cell and atoms, written as extended XYZ:
```
20
Lattice="6.8696 0.0000 0.0000 0.0000 5.4782 0.0000 0.0000 0.0000 15.7787" Properties=species:S:1:pos:R:3 pbc="T T T"
Sm 0.7526 1.3695 2.3191
Sm 0.9216 1.3695 11.7605
Sm 2.5132 4.1086 3.8711
Sm 2.6822 4.1086 10.2084
Sm 4.1873 1.3695 5.5702
Sm 4.3563 1.3695 11.9076
Sm 5.9480 4.1086 4.0182
Sm 6.1170 4.1086 13.4596
Y 0.8912 4.1086 7.2740
Y 2.5436 1.3695 15.1634
Y 4.3260 4.1086 0.6153
Y 5.9784 1.3695 8.5047
Sc 0.7842 1.3695 5.4747
Sc 0.8697 4.1086 0.5428
Sc 2.5651 1.3695 8.4322
Sc 2.6506 4.1086 13.3640
Sc 4.2190 1.3695 2.4147
Sc 4.3045 4.1086 7.3465
Sc 5.9999 1.3695 15.2359
Sc 6.0854 4.1086 10.3040
```

## Properties
- Magnetic moment: 0.00 μB/f.u.
- SG: Pnma
- DOS at the Fermi energy: 37.1 states/eV per cell
- Crystal system: orthorhombic

***

The calculated energies rank the structures as follows, beginning with the most stable: b, a.

***

a:
The following is a PBE calculation of an optimized crystal structure of SmYScZn, from Alexandria via LeMat-Bulk.

Cell and atoms, written as extended XYZ:
```
4
Lattice="3.4884 0.0000 0.0000 0.0000 3.4884 0.0000 0.0000 0.0000 8.5365" Properties=species:S:1:pos:R:3 pbc="T T T"
Sm 0.0000 0.0000 0.0000
Y 1.7442 1.7442 5.8542
Sc 1.7442 1.7442 2.4339
Zn 0.0000 0.0000 3.9254
```

## Properties
- Magnetic moment: 0.00 μB/f.u.
- SG: P4mm
- DOS at the Fermi energy: 4.1 states/eV per cell
- Crystal system: tetragonal

***

b:
The following is a PBE calculation of an optimized crystal structure of SmYScZn, from Alexandria via LeMat-Bulk.

Cell and atoms, written as extended XYZ:
```
4
Lattice="0.0000 3.7213 3.7213 3.7213 0.0000 3.7213 3.7213 3.7213 0.0000" Properties=species:S:1:pos:R:3 pbc="T T T"
Sm 0.0000 0.0000 0.0000
Y 3.7213 3.7213 3.7213
Sc 5.5820 5.5820 5.5820
Zn 1.8607 1.8607 1.8607
```

## Properties
- Magnetic moment: 0.00 μB/f.u.
- SG: F-43m
- DOS at the Fermi energy: 4.6 states/eV per cell
- Crystal system: cubic

***

The calculated energies rank the structures as follows, beginning with the most stable: a, b.

***

a:
The following is a PBE calculation of an optimized crystal structure of Sm2ScZn, from Alexandria via LeMat-Bulk.

Cell and atoms, written as extended XYZ:
```
4
Lattice="3.6004 0.0000 0.0000 0.0000 3.6004 0.0000 0.0000 0.0000 8.2445" Properties=species:S:1:pos:R:3 pbc="T T T"
Sm 0.0000 0.0000 1.8283
Sm 0.0000 0.0000 6.4163
Sc 1.8002 1.8002 4.1223
Zn 1.8002 1.8002 0.0000
```

## Properties
- Magnetic moment: 0.00 μB/f.u.
- SG: P4/mmm
- DOS at the Fermi energy: 5.4 states/eV per cell
- Crystal system: tetragonal

***

b:
The following is a PBE calculation of an optimized crystal structure of Sm2ScZn, from Alexandria via LeMat-Bulk.

Cell and atoms, written as extended XYZ:
```
4
Lattice="0.0000 3.7420 3.7420 3.7420 0.0000 3.7420 3.7420 3.7420 0.0000" Properties=species:S:1:pos:R:3 pbc="T T T"
Sm 1.8710 1.8710 1.8710
Sm 5.6130 5.6130 5.6130
Sc 0.0000 0.0000 0.0000
Zn 3.7420 3.7420 3.7420
```

## Properties
- Magnetic moment: 0.00 μB/f.u.
- SG: Fm-3m
- DOS at the Fermi energy: 4.7 states/eV per cell
- Crystal system: cubic

***

The calculated energies rank the structures as follows, beginning with the most stable: a, b.

***

a:
The following is a PBE calculation of an optimized crystal structure of Sm2ScZn, from Alexandria via LeMat-Bulk.

Cell and atoms, written as extended XYZ:
```
4
Lattice="1.6889 0.9751 11.3199 -1.6889 0.9751 11.3199 0.0000 -1.9502 11.3199" Properties=species:S:1:pos:R:3 pbc="T T T"
Sm 0.0000 0.0000 3.2686
Sm 0.0000 0.0000 30.6910
Sc 0.0000 0.0000 0.0000
Zn 0.0000 0.0000 16.9798
```

## Properties
- Magnetic moment: 0.07 μB/f.u.
- SG: R-3m
- DOS at the Fermi energy: 6.3 states/eV per cell
- Crystal system: trigonal

***

b:
The following is a PBE calculation of an optimized crystal structure of Sm2ScZn, from Alexandria via LeMat-Bulk.

Cell and atoms, written as extended XYZ:
```
4
Lattice="5.3631 0.0000 0.0000 0.0000 5.3631 0.0000 0.0000 0.0000 3.6533" Properties=species:S:1:pos:R:3 pbc="T T T"
Sm 0.0000 2.6816 0.0000
Sm 2.6816 0.0000 0.0000
Sc 0.0000 0.0000 1.8267
Zn 2.6816 2.6816 1.8267
```

## Properties
- Magnetic moment: 0.00 μB/f.u.
- SG: P4/mmm
- DOS at the Fermi energy: 4.8 states/eV per cell
- Crystal system: tetragonal

***

The calculated energies rank the structures as follows, beginning with the most stable: b, a.